Entry 1:
First-principles (PBE-GGA) data for a relaxed structure of NaInNiHg2, as listed in the Alexandria database.

Lattice parameters (Å, degrees): 5.1105 5.1105 4.9160 90.00 90.00 90.00
Positions (direct):
Na1 0.0000 0.0000 0.0000
In1 0.5000 0.5000 0.0000
Ni1 0.5000 0.5000 0.5000
Hg1 0.0000 0.5000 0.5000
Hg2 0.5000 0.0000 0.5000

- symmetry = P4/mmm (123)
- E_form (meV/atom) = -52
- calculated density (kg/m³) = 7730
- energy (eV per cell) = -10.70



Entry 2:
First-principles (PBE-GGA) data for a relaxed structure of Nd4SiAs2Cl, as listed in the Alexandria database.

Lattice parameters (Å, degrees): 7.3305 4.2560 7.3499 90.00 109.18 90.00
Positions (direct):
Nd1 0.2396 0.0000 0.2351
Nd2 0.2492 0.5000 0.7559
Nd3 0.7508 0.5000 0.2441
Nd4 0.7604 0.0000 0.7649
Si1 0.5000 0.0000 0.0000
As1 0.0000 0.0000 0.5000
As2 0.0000 0.5000 0.0000
Cl1 0.5000 0.5000 0.5000

- symmetry = P2/m (10)
- calculated density (kg/m³) = 6060
- energy (eV per cell) = -46.52



Entry 3:
First-principles (PBE-GGA) data for a relaxed structure of Li3BN2, as listed in the Alexandria database.

Lattice parameters (Å, degrees): 5.6585 5.6585 5.6585 133.06 76.19 123.78
Positions (direct):
Li1 0.0092 0.7500 0.2592
Li2 0.2500 0.2500 0.0000
Li3 0.4908 0.7500 0.7408
Li4 0.5092 0.2500 0.2592
Li5 0.7500 0.7500 0.0000
Li6 0.9908 0.2500 0.7408
B1 0.0000 0.5000 0.5000
B2 0.5000 0.0000 0.5000
N1 0.1096 0.7133 0.8229
N2 0.3904 0.2133 0.6037
N3 0.6096 0.7867 0.3963
N4 0.8904 0.2867 0.1771

- symmetry = Ibam (72)
- calculated density (kg/m³) = 1851
- energy (eV per cell) = -67.20
- relative energy among the computed polymorphs (eV/atom) = 0.087



Entry 4:
First-principles (PBE-GGA) data for a relaxed structure of SiNi8B2, as listed in the Alexandria database.

Lattice parameters (Å, degrees): 5.6181 5.6181 3.9121 98.71 98.71 111.83
Positions (direct):
Si1 0.0000 0.0000 0.0000
Ni1 0.0708 0.3296 0.5875
Ni2 0.2450 0.7550 0.0000
Ni3 0.3296 0.0708 0.5875
Ni4 0.3862 0.3862 0.1947
Ni5 0.6138 0.6138 0.8053
Ni6 0.6704 0.9292 0.4125
Ni7 0.7550 0.2450 0.0000
Ni8 0.9292 0.6704 0.4125
B1 0.3160 0.6840 0.5000
B2 0.6840 0.3160 0.5000

- symmetry = C2/m (12)
- calculated density (kg/m³) = 7813
- energy (eV per cell) = -68.21



no.,D(E_F) (states/eV/cell)
1,2.3
2,2.2
3,0.0
4,6.8